[1]
Below is crystalline PrCuAgSn at its relaxed geometry, with properties calculated at the PBE-GGA level.

Computed properties:
Formation energy ... -31.5 kJ per mole of atoms
Total moment ... 0.0 μB per cell
Crystal system ... cubic

Cell: 7.035 7.035 7.035 Å, 90.00 90.00 90.00°
Space group F-43m (No. 216)
Unique sites:
Pr (0.000, 0.000, 0.000) x4
Cu (0.250, 0.250, 0.750) x4
Ag (0.250, 0.250, 0.250) x4
Sn (0.000, 0.000, 0.500) x4

[2]
Below is crystalline SiAg3F6 at its relaxed geometry, with properties calculated at the PBE-GGA level.

Computed properties:
Formation energy from raw total energies ... -1891 meV per atom
Total moment ... 0.0 μB per cell
Crystal system ... monoclinic

Cell: 10.227 5.236 6.997 Å, 90.00 129.87 90.00°
Space group C2/m (No. 12)
Unique sites:
Si (0.000, 0.000, 0.000) x2
Ag (0.000, 0.500, 0.500) x2
Ag (0.178, 0.000, 0.667) x4
F (0.084, 0.231, 0.225) x8
F (0.186, 0.000, 0.042) x4

[3]
Below is crystalline Ba2CaH8Rh at its relaxed geometry, with properties calculated at the PBE-GGA level.

Computed properties:
Final energy ... -3.687 eV per atom
Total moment ... 0.0 μB per cell
Crystal system ... trigonal

Cell: 5.5235 5.5235 6.5101 Å, 90.00 90.00 120.00°
Space group P-3m1 (No. 164)
Unique sites:
Ba (0.3333, 0.6667, 0.3013) x2
Ca (0.0000, 0.0000, 0.0000) x1
H (0.1421, 0.2842, 0.6531) x6
H (0.3333, 0.6667, 0.9127) x2
Rh (0.0000, 0.0000, 0.5000) x1

[4]
Below is crystalline Tb2Ho8Zn at its relaxed geometry, with properties calculated at the PBE-GGA level.

Computed properties:
Formation energy ... -1.8 kJ per mole of atoms
Total moment ... 0.0 μB per cell
Crystal system ... monoclinic

Cell: 18.980 5.463 6.353 Å, 90.00 94.16 90.00°
Space group C2/m (No. 12)
Unique sites:
Tb (0.241, 0.000, 0.331) x4
Ho (0.042, 0.000, 0.255) x4
Ho (0.077, 0.500, 0.609) x4
Ho (0.155, 0.500, 0.123) x4
Ho (0.156, 0.000, 0.809) x4
Zn (0.000, 0.500, 0.000) x2

- What is the total moment in the first record?
  0.0 μB per cell

- What is the total moment in the first record?
  0.0 μB per cell

- total moment of number 1 (PrCuAgSn)?
  0.0 μB per cell

Please write out number 1 again, unchanged.
Below is crystalline PrCuAgSn at its relaxed geometry, with properties calculated at the PBE-GGA level.

Computed properties:
Formation energy ... -31.5 kJ per mole of atoms
Total moment ... 0.0 μB per cell
Crystal system ... cubic

Cell: 7.035 7.035 7.035 Å, 90.00 90.00 90.00°
Space group F-43m (No. 216)
Unique sites:
Pr (0.000, 0.000, 0.000) x4
Cu (0.250, 0.250, 0.750) x4
Ag (0.250, 0.250, 0.250) x4
Sn (0.000, 0.000, 0.500) x4